(1)
Here is a relaxed structure of RbAs3C from Alexandria. Energies are from PBE.

Final energy in eV/atom: -3.81
ρ in g cm⁻³: 5.2
Distance to the lowest polymorph of the same formula in eV per atom: 0.000
Formation energy from the elements in eV per atom: 1.0228

Cell and atoms, written as POSCAR:
```
RbAs3C
1.0
4.698 0.000 0.000
0.000 4.698 0.000
0.000 0.000 4.698
Rb As C
1 3 1
Cartesian
0.000 0.000 0.000
0.000 2.349 2.349
2.349 0.000 2.349
2.349 2.349 0.000
2.349 2.349 2.349
```

***

(2)
Here is a relaxed structure of TmTh2Mg from Alexandria. Energies are from PBE.

Final energy in eV/atom: -5.09
ρ in g cm⁻³: 9.2
Distance to the lowest polymorph of the same formula in eV per atom: 0.125
Formation energy from the elements in eV per atom: 0.1325

Cell and atoms, written as POSCAR:
```
TmTh2Mg
1.0
7.811 0.000 0.000
0.000 7.811 0.000
0.000 0.000 7.811
Tm Th Mg
4 8 4
Cartesian
0.000 0.000 0.000
0.000 3.906 3.906
3.906 0.000 3.906
3.906 3.906 0.000
1.953 1.953 1.953
1.953 1.953 5.858
1.953 5.858 1.953
1.953 5.858 5.858
5.858 1.953 1.953
5.858 1.953 5.858
5.858 5.858 1.953
5.858 5.858 5.858
0.000 0.000 3.906
0.000 3.906 0.000
3.906 0.000 0.000
3.906 3.906 3.906
```

***

(3)
Here is a relaxed structure of LiMnFe2 from Alexandria. Energies are from PBE.

Final energy in eV/atom: -6.70
ρ in g cm⁻³: 7.0
Distance to the lowest polymorph of the same formula in eV per atom: 0.100
Formation energy from the elements in eV per atom: 0.3051

Cell and atoms, written as POSCAR:
```
LiMnFe2
1.0
5.476 0.000 0.000
0.000 5.476 0.000
0.000 0.000 5.476
Li Mn Fe
4 4 8
Cartesian
0.000 0.000 0.000
0.000 2.738 2.738
2.738 0.000 2.738
2.738 2.738 0.000
0.000 0.000 2.738
0.000 2.738 0.000
2.738 0.000 0.000
2.738 2.738 2.738
1.369 1.369 1.369
1.369 1.369 4.107
1.369 4.107 1.369
1.369 4.107 4.107
4.107 1.369 1.369
4.107 1.369 4.107
4.107 4.107 1.369
4.107 4.107 4.107
```

***

(4)
Here is a relaxed structure of Cs3KPd2Br9 from Alexandria. Energies are from PBE.

Final energy in eV/atom: -3.00
ρ in g cm⁻³: 4.3

Cell and atoms, written as POSCAR:
```
Cs3KPd2Br9
1.0
7.761 0.000 0.000
-3.881 6.722 0.000
0.000 0.000 10.108
Cs K Pd Br
3 1 2 9
Cartesian
0.000 0.000 0.000
0.000 4.481 6.965
3.881 2.240 3.143
0.000 0.000 5.054
0.000 4.481 1.480
3.881 2.240 8.628
-1.940 3.361 0.000
0.000 2.365 2.956
-1.832 5.539 2.956
2.048 1.183 7.152
3.881 0.000 0.000
1.940 3.361 0.000
1.832 5.539 2.956
5.713 1.183 7.152
3.881 4.356 7.152
```

***

What did the third record say?
Here is a relaxed structure of LiMnFe2 from Alexandria. Energies are from PBE.

Final energy in eV/atom: -6.70
ρ in g cm⁻³: 7.0
Distance to the lowest polymorph of the same formula in eV per atom: 0.100
Formation energy from the elements in eV per atom: 0.3051

Cell and atoms, written as POSCAR:
```
LiMnFe2
1.0
5.476 0.000 0.000
0.000 5.476 0.000
0.000 0.000 5.476
Li Mn Fe
4 4 8
Cartesian
0.000 0.000 0.000
0.000 2.738 2.738
2.738 0.000 2.738
2.738 2.738 0.000
0.000 0.000 2.738
0.000 2.738 0.000
2.738 0.000 0.000
2.738 2.738 2.738
1.369 1.369 1.369
1.369 1.369 4.107
1.369 4.107 1.369
1.369 4.107 4.107
4.107 1.369 1.369
4.107 1.369 4.107
4.107 4.107 1.369
4.107 4.107 4.107
```

***

Q: The highest final energy belongs to which entry?
A: Cs3KPd2Br9

***

Q: What is the formula in the third record?
A: LiMnFe2

***

Q: Which formula does entry 4 have?
A: Cs3KPd2Br9